Compound: La4GeSb2Se
Source: Alexandria via LeMat-Bulk
Functional: PBE-GGA
Structure: relaxed

abc: 7.788 4.504 7.823
angles: 90.00 109.35 90.00
Element x y z (fractional)
La (0.242, 0.000, 0.237)
La (0.248, 0.500, 0.761)
La (0.752, 0.500, 0.239)
La (0.758, 0.000, 0.763)
Ge (0.000, 0.500, 0.000)
Sb (0.000, 0.000, 0.500)
Sb (0.500, 0.500, 0.500)
Se (0.500, 0.000, 0.000)

crystal system = monoclinic
symmetry = P2/m
V = 32.36 Å³/atom
formation energy (no corrections) = -1.36 eV per atom
total moment = 0.000 μB per cell